Computed, not measured: a relaxed structure of K2BeZnI at the GGA-PBE level of DFT.

Calculated values
space-group type	P4/mmm (123)
formation energy without anion corrections	0.3410	eV/atom
total DFT energy (no corrections)	-7.04	eV per cell
density of states at the Fermi level	3.08	states/eV/f.u.
spin magnetization	0.00	μB per formula unit

Lattice parameters (Å, degrees): 6.3539 5.3369 6.3539 90.00 90.00 90.00
Fractional coordinates of all 5 atoms:
Be1 0.0000 0.0000 0.0000
I1 0.0000 0.5000 0.0000
Zn1 0.5000 0.5000 0.5000
K1 0.5000 0.0000 0.0000
K2 0.0000 0.0000 0.5000



Computed, not measured: a relaxed structure of SrCrMo2 at the GGA-PBE level of DFT.

Calculated values
space-group type	Fm-3m (225)
total DFT energy (no corrections)	-28.05	eV per cell
ΔH_f (0 K)	1.229	eV per atom
density of states at the Fermi level	5.84	states/eV/f.u.
spin magnetization	0.00	μB per formula unit

Lattice parameters (Å, degrees): 4.6179 4.6179 4.6179 60.00 60.00 60.00
Fractional coordinates of all 4 atoms:
Sr1 0.5000 0.5000 0.5000
Mo1 0.7500 0.7500 0.7500
Mo2 0.2500 0.2500 0.2500
Cr1 0.0000 0.0000 0.0000



Computed, not measured: a relaxed structure of La2SeBr at the GGA-PBE level of DFT.

Calculated values
space-group type	I-42d (122)
formation energy without anion corrections	-1.1573	eV/atom
total DFT energy (no corrections)	-39.28	eV per cell
density of states at the Fermi level	5.45	states/eV/f.u.
spin magnetization	0.00	μB per formula unit

Lattice parameters (Å, degrees): 6.8424 6.8424 8.3644 65.86 65.86 90.00
Fractional coordinates of all 8 atoms:
La1 0.3750 0.3915 0.7500
La2 0.6085 0.1250 0.2500
La3 0.1415 0.6250 0.2500
La4 0.8750 0.8585 0.7500
Br1 0.7500 0.2500 0.5000
Br2 0.0000 0.0000 0.0000
Se1 0.2500 0.7500 0.5000
Se2 0.5000 0.5000 0.0000



What V values result from the calculations? In sequence: 215.5; 69.6; 319.4 Å³/cell.